## Pr3Dy2PuS6 (GGA-PBE)

Data for an optimized crystal structure of Pr3Dy2PuS6.

POSCAR file:
```
Pr3Dy2PuS6
1.0
-4.412 5.303 -0.589
-1.672 -6.202 -2.582
-0.735 -1.359 6.835
S Pr Pu Dy
6 3 1 2
direct
0.922 0.586 0.766
0.586 0.922 0.766
0.742 0.742 0.233
0.414 0.078 0.234
0.258 0.258 0.767
0.078 0.414 0.234
0.833 0.167 0.500
0.167 0.833 0.500
0.500 0.500 0.500
0.000 0.000 0.000
0.667 0.333 0.000
0.333 0.667 0.000
```

Values from the calculation:
total moment = 5.7 Bohr magnetons per cell
crystal system = monoclinic
VASP energy = -86.4 eV per cell
symmetry = C2/m (12)
D(E_F) = 12.92 states/eV per cell
E_form (uncorrected) = -1983 meV/atom